Entry a
A geometry-optimized CeNdAg structure, computed with GGA-PBE.

Properties
Fermi-level density of states   12.0 states/eV/cell
Space group   Cmcm, No. 63
Size of the total moment   0.3263 μB/atom
Calculated volume   27.46 Å³/atom

```
CeNdAg
1.0
3.5298 0.0000 0.0000
0.0000 5.4696 0.0000
-1.7649 0.0000 8.5336
Nd Ag Ce
2 2 2
Direct
0.0784 0.2500 0.1569
0.9216 0.7500 0.8431
0.5845 0.7500 0.1691
0.4155 0.2500 0.8309
0.7629 0.2500 0.5258
0.2371 0.7500 0.4742
```

Entry b
A geometry-optimized CeNdAg structure, computed with GGA-PBE.

Properties
Fermi-level density of states   5.8 states/eV/cell
Space group   P3m1, No. 156
Size of the total moment   0.1714 μB/atom
Calculated volume   26.46 Å³/atom

```
CeNdAg
1.0
3.5279 0.0000 0.0000
0.0000 5.0969 0.0000
0.0000 -2.5485 4.4141
Ce Nd Ag
1 1 1
Direct
0.0123 0.0000 0.0000
0.6570 0.6667 0.3333
0.3307 0.3333 0.6667
```

Sorted by energy, starting with the most stable: entry a, entry b.

Entry a
A geometry-optimized CeNdAg2 structure, computed with GGA-PBE.

Properties
Fermi-level density of states   10.3 states/eV/cell
Space group   Fm-3m, No. 225
Size of the total moment   0.2962 μB/atom
Calculated volume   26.24 Å³/atom

```
CeNdAg2
1.0
-2.7719 0.6891 4.4582
-1.1127 -4.1502 3.0938
2.3794 -0.5100 4.7023
Nd Ce Ag
1 1 2
Direct
0.0000 0.0000 0.0000
0.5000 0.5000 0.5000
0.2500 0.2500 0.2500
0.7500 0.7500 0.7500
```

Entry b
A geometry-optimized CeNdAg2 structure, computed with GGA-PBE.

Properties
Fermi-level density of states   9.3 states/eV/cell
Space group   P4/mmm, No. 123
Size of the total moment   0.2823 μB/atom
Calculated volume   26.20 Å³/atom

```
CeNdAg2
1.0
3.6772 0.0000 0.0000
0.0000 3.6772 0.0000
0.0000 0.0000 7.7506
Ag Nd Ce
2 1 1
Direct
0.0000 0.0000 0.2533
0.0000 0.0000 0.7467
0.5000 0.5000 0.5000
0.5000 0.5000 0.0000
```

Sorted by energy, starting with the most stable: entry b, entry a.

Entry a
A geometry-optimized Ce2AgO structure, computed with GGA-PBE.

Properties
Fermi-level density of states   7.5 states/eV/cell
Space group   P4/mmm, No. 123
Size of the total moment   0.2551 μB/atom
Calculated volume   18.69 Å³/atom

```
Ce2AgO
1.0
-0.1914 -3.0243 0.4845
2.7876 -0.3732 -1.2279
3.2822 0.9401 7.1653
Ag Ce O
1 2 1
Direct
0.5000 0.5000 0.5000
0.0000 0.0000 0.8054
0.0000 0.0000 0.1946
0.5000 0.5000 0.0000
```

Entry b
A geometry-optimized Ce2AgO structure, computed with GGA-PBE.

Properties
Fermi-level density of states   6.3 states/eV/cell
Space group   R-3m, No. 166
Size of the total moment   0.2005 μB/atom
Calculated volume   21.21 Å³/atom

```
Ce2AgO
1.0
-0.0887 -1.8702 -2.6522
-1.1136 -3.0432 0.1962
-8.9937 1.3877 -2.6648
O Ce Ag
1 2 1
Direct
0.5000 0.5000 0.5000
0.1108 0.1108 0.6676
0.8892 0.8892 0.3324
0.0000 0.0000 0.0000
```

Entry c
A geometry-optimized Ce2AgO structure, computed with GGA-PBE.

Properties
Fermi-level density of states   8.5 states/eV/cell
Space group   R3m, No. 160
Size of the total moment   0.3385 μB/atom
Calculated volume   21.33 Å³/atom

```
Ce2AgO
1.0
-3.2246 -1.5966 -0.1206
-0.9223 -1.9803 -2.8618
1.5502 -7.3664 2.3331
Ce O Ag
2 1 1
Direct
0.0599 0.0599 0.8202
0.2725 0.2725 0.1826
0.6673 0.6673 0.9981
0.5003 0.5003 0.4991
```

Sorted by energy, starting with the most stable: entry c, entry b, entry a.